Below is La2NbCoCl after structural relaxation, with properties calculated at the GGA-PBE level.

The structure in extended XYZ format:
```
5
Lattice="-5.4087 0.5273 1.0664 -1.1330 -3.7975 -3.8683 0.2696 -2.9683 2.8350" Properties=species:S:1:pos:R:3 pbc="T T T"
Nb -3.1360 -3.1192 0.0165
Cl 0.0000 0.0000 0.0000
Co 0.1348 -1.4841 1.4175
La -0.5665 -1.8988 -1.9342
La -2.7043 0.2637 0.5332
```

Its raw formation energy is 143 meV per atom. The raw total energy is -28.2 eV for the cell shown. Its magnetization is 3.441 μB per formula unit.

***

Below is La2Nd2Co2Cl after structural relaxation, with properties calculated at the GGA-PBE level.

The structure in extended XYZ format:
```
7
Lattice="-2.9615 -1.2230 2.0319 -4.6663 -3.5109 -5.3719 0.8835 -7.1020 0.5552" Properties=species:S:1:pos:R:3 pbc="T T T"
La -2.1779 -6.3465 0.0902
La -4.5664 -5.4894 -2.8750
Nd -3.1256 -8.6673 -2.6879
Nd -3.6187 -3.1686 -0.0969
Co -2.3334 -4.1699 -2.3685
Co -4.4108 -7.6660 -0.4163
Cl 0.0000 0.0000 0.0000
```

Its raw formation energy is -508 meV per atom. The raw total energy is -39.0 eV for the cell shown. Its magnetization is 0.000 μB per formula unit.

***

Below is LaNdCoCl after structural relaxation, with properties calculated at the GGA-PBE level.

The structure in extended XYZ format:
```
4
Lattice="3.9611 -0.0006 0.0003 -1.9802 3.4305 -0.0003 -1.9792 -1.1429 7.7509" Properties=species:S:1:pos:R:3 pbc="T T T"
La 0.3756 -0.2507 5.2335
Nd -1.6064 3.1795 0.5510
Co -1.6050 0.8931 6.7207
Cl 2.3546 0.8926 2.7613
```

Its raw formation energy is -861 meV per atom. The raw total energy is -22.1 eV for the cell shown. Its magnetization is 0.000 μB per formula unit.

***

Below is La8Co3NiCl4 after structural relaxation, with properties calculated at the GGA-PBE level.

The structure in extended XYZ format:
```
16
Lattice="-3.7591 -3.6275 -6.0583 -5.3853 -4.0821 5.7857 0.1895 8.1741 0.2695" Properties=species:S:1:pos:R:3 pbc="T T T"
La -4.4963 4.2059 2.8559
La -4.5752 0.1834 2.7291
La -2.4934 2.1148 0.2808
La -6.3358 2.4308 -0.1087
La -2.6192 -1.9663 0.1055
La -6.4616 -1.6503 -0.2840
La -4.3797 0.2811 -2.7322
La -4.4587 -3.7414 -2.8591
Co -4.5722 -3.8548 -0.1363
Co -4.4775 0.2322 -0.0016
Co -2.5979 2.0460 3.0276
Ni -2.6927 -2.0411 2.8929
Cl -1.8795 -1.8138 -3.0292
Cl -1.7848 2.2733 -2.8944
Cl 0.0000 0.0000 0.0000
Cl 0.0947 4.0871 0.1347
```

Its raw formation energy is -952 meV per atom. The raw total energy is -89.1 eV for the cell shown. Its magnetization is 0.000 μB per formula unit.

***

Below is La6CoNi2Cl3 after structural relaxation, with properties calculated at the GGA-PBE level.

The structure in extended XYZ format:
```
12
Lattice="-4.7778 0.7566 5.3100 6.2679 -3.3745 0.9600 2.7772 7.3625 0.0600" Properties=species:S:1:pos:R:3 pbc="T T T"
La 1.5524 4.5521 5.5372
La 1.6789 -0.4793 4.7183
La 2.7150 0.1925 0.7928
La 5.1521 3.2057 4.1196
La 2.5885 5.2239 1.6117
La -0.8847 1.5388 2.2104
Co 0.0000 0.0000 0.0000
Ni 2.5842 -1.9968 2.4107
Ni -1.0941 -0.6211 3.8593
Cl 5.8357 0.9877 1.7071
Cl -1.5683 3.7569 4.6229
Cl 2.1337 2.3723 3.1650
```

Its raw formation energy is -971 meV per atom. The raw total energy is -65.4 eV for the cell shown. Its magnetization is 0.000 μB per formula unit.